A geometry-optimized CaCoMoN3 structure, computed with PBE-GGA.

POSCAR file:
```
CaCoMoN3
1.0
3.091 0.000 0.000
0.000 6.638 0.247
0.000 -2.325 6.957
Ca Co Mo N
2 2 2 6
Cartesian
2.318 3.486 5.637
0.773 0.827 1.567
0.773 -0.755 4.215
2.318 5.068 2.989
0.773 4.121 1.184
2.318 0.192 6.020
0.773 4.143 3.537
2.318 5.546 1.158
2.318 2.634 1.103
2.318 0.170 3.667
0.773 1.679 6.101
0.773 -1.233 6.046
```

* energy relative to the elements, uncorrected: -0.4195 eV per atom
* DFT total energy: -7.91 eV per atom